Record 1
Material: LaSc2Cd2
Method: DFT, PBEsol
State: relaxed

abc: 8.677 8.677 3.165
angles: 90.00 90.00 90.00
Atoms (fractional coordinates):
La1 0.000 0.000 0.000
La2 0.500 0.500 0.000
Sc1 0.127 0.373 0.000
Sc2 0.373 0.873 0.000
Sc3 0.627 0.127 0.000
Sc4 0.873 0.627 0.000
Cd1 0.170 0.670 0.500
Cd2 0.330 0.170 0.500
Cd3 0.670 0.830 0.500
Cd4 0.830 0.330 0.500

For the energy of formation, the calculation gives -0.21 eV per atom. Its symmetry is P4/mbm.

---

Record 2
Material: Be2RuCl
Method: DFT, PBEsol
State: relaxed

abc: 5.117 5.117 5.117
angles: 143.17 143.17 53.07
Atoms (fractional coordinates):
Be1 0.000 0.000 0.000
Be2 0.750 0.250 0.500
Ru1 0.250 0.750 0.500
Cl1 0.500 0.500 0.000

For the uncorrected formation energy, the calculation gives 2.00 eV/f.u. Its symmetry is I-4m2. For the energy above the lowest structure with this stoichiometry, the calculation gives 378 meV/atom.

---

Record 3
Material: BaSc2O4
Method: DFT, PBEsol
State: relaxed

abc: 5.694 5.694 20.491
angles: 90.12 90.12 61.10
Atoms (fractional coordinates):
Ba1 0.113 0.887 0.750
Ba2 0.222 0.448 0.362
Ba3 0.448 0.222 0.862
Ba4 0.552 0.778 0.138
Ba5 0.778 0.552 0.638
Ba6 0.887 0.113 0.250
Sc1 0.117 0.877 0.570
Sc2 0.123 0.883 0.930
Sc3 0.213 0.460 0.053
Sc4 0.217 0.446 0.195
Sc5 0.446 0.217 0.695
Sc6 0.460 0.213 0.553
Sc7 0.540 0.787 0.447
Sc8 0.554 0.783 0.305
Sc9 0.783 0.554 0.805
Sc10 0.787 0.540 0.947
Sc11 0.877 0.117 0.070
Sc12 0.883 0.123 0.430
O1 0.019 0.320 0.124
O2 0.087 0.775 0.124
O3 0.100 0.205 0.997
O4 0.110 0.366 0.749
O5 0.205 0.100 0.497
O6 0.225 0.913 0.376
O7 0.255 0.532 0.620
O8 0.320 0.019 0.624
O9 0.366 0.110 0.249
O10 0.418 0.582 0.250
O11 0.468 0.745 0.880
O12 0.500 0.500 0.000
O13 0.500 0.500 0.500
O14 0.532 0.255 0.120
O15 0.582 0.418 0.750
O16 0.634 0.890 0.751
O17 0.680 0.981 0.376
O18 0.745 0.468 0.380
O19 0.775 0.087 0.624
O20 0.795 0.900 0.503
O21 0.890 0.634 0.251
O22 0.900 0.795 0.003
O23 0.913 0.225 0.876
O24 0.981 0.680 0.876

For the uncorrected formation energy, the calculation gives -23.41 eV/f.u. Its symmetry is C2/c.

---

Record 4
Material: Hf2GaHgRh
Method: DFT, PBEsol
State: relaxed

abc: 4.864 4.864 4.607
angles: 90.00 90.00 90.00
Atoms (fractional coordinates):
Hf1 0.000 0.500 0.000
Hf2 0.500 0.000 0.000
Ga1 0.000 0.000 0.000
Hg1 0.000 0.000 0.500
Rh1 0.500 0.500 0.500

For the energy of formation, the calculation gives 0.84 eV per atom. Its symmetry is P4/mmm.

---

Record 5
Material: Zn3Bi2O7
Method: DFT, PBEsol
State: relaxed

abc: 10.205 10.205 5.486
angles: 90.00 90.00 31.77
Atoms (fractional coordinates):
Zn1 0.091 0.489 0.542
Zn2 0.249 0.751 0.500
Zn3 0.489 0.091 0.042
Zn4 0.511 0.909 0.542
Zn5 0.751 0.249 0.000
Zn6 0.909 0.511 0.042
Bi1 0.129 0.663 0.007
Bi2 0.337 0.871 0.007
Bi3 0.663 0.129 0.507
Bi4 0.871 0.337 0.507
O1 0.047 0.249 0.845
O2 0.088 0.912 0.174
O3 0.158 0.427 0.904
O4 0.249 0.047 0.345
O5 0.342 0.507 0.664
O6 0.427 0.158 0.404
O7 0.493 0.658 0.664
O8 0.507 0.342 0.164
O9 0.573 0.842 0.904
O10 0.658 0.493 0.164
O11 0.751 0.953 0.845
O12 0.842 0.573 0.404
O13 0.912 0.088 0.674
O14 0.953 0.751 0.345

For the uncorrected formation energy, the calculation gives -13.81 eV/f.u. Its symmetry is Cmc2_1.

---

Record 6
Material: RbY3Pt
Method: DFT, PBEsol
State: relaxed

abc: 5.547 5.547 5.547
angles: 90.00 90.00 90.00
Atoms (fractional coordinates):
Rb1 0.000 0.000 0.000
Y1 0.000 0.500 0.500
Y2 0.500 0.000 0.500
Y3 0.500 0.500 0.000
Pt1 0.500 0.500 0.500

For the energy of formation, the calculation gives -0.17 eV per atom. Its symmetry is Pm-3m.

---

Record 7
Material: Li2TaFe
Method: DFT, PBEsol
State: relaxed

abc: 5.508 5.508 2.735
angles: 103.01 103.01 127.25
Atoms (fractional coordinates):
Li1 0.000 0.500 0.000
Li2 0.500 0.000 0.000
Ta1 0.000 0.000 0.500
Fe1 0.500 0.500 0.500

For the energy of formation, the calculation gives 0.37 eV per atom. Its symmetry is C2/m. For the energy above the lowest structure with this stoichiometry, the calculation gives 113 meV/atom.

---

Record 8
Material: BaLiAl2
Method: DFT, PBEsol
State: relaxed

abc: 6.641 6.641 6.641
angles: 39.95 39.95 39.95
Atoms (fractional coordinates):
Ba1 0.000 0.000 0.000
Li1 0.500 0.500 0.500
Al1 0.193 0.193 0.193
Al2 0.807 0.807 0.807

For the energy of formation, the calculation gives -0.12 eV per atom. Its symmetry is R-3m. For the energy above the lowest structure with this stoichiometry, the calculation gives 47 meV/atom.

---

Record 9
Material: LiCaP
Method: DFT, PBEsol
State: relaxed

abc: 9.678 4.342 6.478
angles: 90.00 90.00 90.00
Atoms (fractional coordinates):
Li1 0.067 0.250 0.055
Li2 0.433 0.750 0.555
Li3 0.567 0.250 0.445
Li4 0.933 0.750 0.945
Ca1 0.151 0.250 0.523
Ca2 0.349 0.750 0.023
Ca3 0.651 0.250 0.977
Ca4 0.849 0.750 0.477
P1 0.101 0.750 0.248
P2 0.399 0.250 0.748
P3 0.601 0.750 0.252
P4 0.899 0.250 0.752

For the energy of formation, the calculation gives -0.94 eV per atom. Its symmetry is Pnma.

---

Record 10
Material: Ca3V2Si3O12
Method: DFT, PBEsol
State: relaxed

abc: 10.428 10.428 10.428
angles: 109.47 109.47 109.47
Atoms (fractional coordinates):
Ca1 0.125 0.250 0.375
Ca2 0.125 0.375 0.750
Ca3 0.250 0.375 0.125
Ca4 0.250 0.875 0.625
Ca5 0.375 0.125 0.250
Ca6 0.375 0.750 0.125
Ca7 0.625 0.250 0.875
Ca8 0.625 0.875 0.750
Ca9 0.750 0.125 0.375
Ca10 0.750 0.625 0.875
Ca11 0.875 0.625 0.250
Ca12 0.875 0.750 0.625
V1 0.000 0.000 0.000
V2 0.000 0.000 0.500
V3 0.000 0.500 0.000
V4 0.000 0.500 0.500
V5 0.500 0.000 0.000
V6 0.500 0.000 0.500
V7 0.500 0.500 0.000
V8 0.500 0.500 0.500
Si1 0.125 0.750 0.875
Si2 0.125 0.875 0.250
Si3 0.250 0.125 0.875
Si4 0.250 0.625 0.375
Si5 0.375 0.250 0.625
Si6 0.375 0.625 0.750
Si7 0.625 0.375 0.250
Si8 0.625 0.750 0.375
Si9 0.750 0.375 0.625
Si10 0.750 0.875 0.125
Si11 0.875 0.125 0.750
Si12 0.875 0.250 0.125
O1 0.009 0.203 0.115
O2 0.009 0.306 0.894
O3 0.088 0.703 0.694
O4 0.088 0.885 0.394
O5 0.106 0.615 0.412
O6 0.106 0.991 0.694
O7 0.115 0.009 0.203
O8 0.115 0.606 0.912
O9 0.194 0.203 0.588
O10 0.194 0.491 0.606
O11 0.203 0.115 0.009
O12 0.203 0.588 0.194
O13 0.297 0.306 0.912
O14 0.297 0.491 0.385
O15 0.306 0.894 0.009
O16 0.306 0.912 0.297
O17 0.385 0.297 0.491
O18 0.385 0.588 0.894
O19 0.394 0.088 0.885
O20 0.394 0.806 0.509
O21 0.412 0.106 0.615
O22 0.412 0.806 0.797
O23 0.491 0.385 0.297
O24 0.491 0.606 0.194
O25 0.509 0.394 0.806
O26 0.509 0.615 0.703
O27 0.588 0.194 0.203
O28 0.588 0.894 0.385
O29 0.606 0.194 0.491
O30 0.606 0.912 0.115
O31 0.615 0.412 0.106
O32 0.615 0.703 0.509
O33 0.694 0.088 0.703
O34 0.694 0.106 0.991
O35 0.703 0.509 0.615
O36 0.703 0.694 0.088
O37 0.797 0.412 0.806
O38 0.797 0.885 0.991
O39 0.806 0.509 0.394
O40 0.806 0.797 0.412
O41 0.885 0.394 0.088
O42 0.885 0.991 0.797
O43 0.894 0.009 0.306
O44 0.894 0.385 0.588
O45 0.912 0.115 0.606
O46 0.912 0.297 0.306
O47 0.991 0.694 0.106
O48 0.991 0.797 0.885

For the uncorrected formation energy, the calculation gives -57.16 eV/f.u. Its symmetry is Ia-3d.

---

Record 11
Material: Mo2RuRh
Method: DFT, PBEsol
State: relaxed

abc: 3.863 3.863 3.817
angles: 90.00 90.00 90.00
Atoms (fractional coordinates):
Mo1 0.000 0.500 0.000
Mo2 0.500 0.000 0.000
Ru1 0.000 0.000 0.500
Rh1 0.500 0.500 0.500

For the energy of formation, the calculation gives -0.08 eV per atom. Its symmetry is P4/mmm. For the energy above the lowest structure with this stoichiometry, the calculation gives 1 meV/atom.

---

Record 12
Material: AlTcAu2
Method: DFT, PBEsol
State: relaxed

abc: 4.114 5.604 5.604
angles: 28.82 90.00 90.00
Atoms (fractional coordinates):
Al1 0.000 0.000 0.000
Tc1 0.500 0.591 0.591
Au1 0.000 0.233 0.233
Au2 0.500 0.859 0.859

For the energy of formation, the calculation gives -0.03 eV per atom. Its symmetry is Amm2.